# PBE CsTiAsSe2, relaxed
# Energy relative to the lowest polymorph listed for this composition: 2232 meV per atom
# Calculated total energy: -2.484 eV/atom
# Energy relative to the elements, uncorrected: 7.9 eV per formula unit
data_CsTiAsSe2
_symmetry_space_group_name_H-M 'P 4/m m m'
_symmetry_Int_Tables_number 123
_symmetry_space_group_name_Hall '-P 4 2'
_cell_length_a 5.5486
_cell_length_b 5.5486
_cell_length_c 5.7351
_cell_angle_alpha 90.00
_cell_angle_beta 90.00
_cell_angle_gamma 90.00
loop_
_atom_site_label
_atom_site_fract_x
_atom_site_fract_y
_atom_site_fract_z
Cs1 0.0000 0.0000 0.0000
Ti1 0.5000 0.5000 0.5000
As1 0.0000 0.0000 0.5000
Se1 0.0000 0.5000 0.0000